1) An optimized crystal structure of BaLiIr3. Source: the Alexandria database, functional PBE.

abc: 5.1976 5.1976 5.1976
angles: 90.00 90.00 90.00
With the nearest neighbours (Å) after each atom.
Fractional coordinates of all 5 atoms:
Ba (0.0000, 0.0000, 0.0000)  6 Ir 2.60
Li (0.5000, 0.5000, 0.5000)  12 Ir 3.68
Ir (0.0000, 0.0000, 0.5000)  2 Ba 2.60
Ir (0.0000, 0.5000, 0.0000)  2 Ba 2.60
Ir (0.5000, 0.0000, 0.0000)  2 Ba 2.60

Output
V: 28.08 Å³/atom
Magnetization: 1.7 μB per cell

***

2) An optimized crystal structure of BaLiIr3. Source: the Alexandria database, functional PBE.

abc: 4.5072 4.5072 4.5072
angles: 90.00 90.00 90.00
With the nearest neighbours (Å) after each atom.
Fractional coordinates of all 5 atoms:
Ba (0.0000, 0.0000, 0.0000)  12 Ir 3.19
Li (0.5000, 0.5000, 0.5000)  6 Ir 2.25
Ir (0.0000, 0.5000, 0.5000)  2 Li 2.25
Ir (0.5000, 0.0000, 0.5000)  2 Li 2.25
Ir (0.5000, 0.5000, 0.0000)  2 Li 2.25

Output
V: 18.31 Å³/atom
Magnetization: 0.0 μB per cell

***

Which of them is least stable? Easy: 1).

***

1) An optimized crystal structure of BaLi2MgIr. Source: the Alexandria database, functional PBE.

abc: 5.2210 5.2210 5.2450
angles: 90.00 90.00 90.00
With the nearest neighbours (Å) after each atom.
Fractional coordinates of all 5 atoms:
Ba (0.0000, 0.0000, 0.0000)  4 Li 2.61, 2 Ir 2.62
Li (0.0000, 0.5000, 0.0000)  2 Ba 2.61
Li (0.5000, 0.0000, 0.0000)  2 Ba 2.61
Mg (0.5000, 0.5000, 0.5000)  4 Ir 3.69, 8 Li 3.70
Ir (0.0000, 0.0000, 0.5000)  2 Ba 2.62

Output
V: 28.59 Å³/atom
Magnetization: 0.0 μB per cell

***

2) An optimized crystal structure of BaLi2MgIr. Source: the Alexandria database, functional PBE.

abc: 4.8002 4.8002 6.2172
angles: 90.00 90.00 90.00
With the nearest neighbours (Å) after each atom.
Fractional coordinates of all 5 atoms:
Ba (0.0000, 0.0000, 0.0000)  2 Mg 3.11, 4 Ir 3.39
Li (0.0000, 0.5000, 0.5000)  2 Mg 2.40
Li (0.5000, 0.0000, 0.5000)  2 Mg 2.40
Mg (0.0000, 0.0000, 0.5000)  4 Li 2.40
Ir (0.5000, 0.5000, 0.0000)  4 Ba 3.39

Output
V: 28.65 Å³/atom
Magnetization: 0.0 μB per cell

***

Which of them is least stable? Easy: 1).